This record from Alexandria describes a relaxed structure of MgCd2FeO4. The functional is PBE+U.

a b c (Å): 6.440 6.440 6.423
angles (deg): 119.34 119.34 91.01
Fractional coordinates of all 16 atoms:
Mg 0.000 0.000 0.000
Mg 0.000 0.000 0.500
Cd 0.000 0.500 0.000
Cd 0.500 0.000 0.500
Cd 0.500 0.500 0.000
Cd 0.500 0.500 0.500
Fe 0.000 0.500 0.500
Fe 0.500 0.000 0.000
O 0.224 0.232 0.478
O 0.228 0.753 0.510
O 0.232 0.224 0.978
O 0.247 0.772 0.990
O 0.753 0.228 0.010
O 0.768 0.776 0.022
O 0.772 0.247 0.490
O 0.776 0.768 0.522

Output
Its space-group type is C2/c. The calculation puts the electronic total energy at -5.10 eV per atom.